VASP calculation (PBE-GGA) on a relaxed ScMn2TcPb crystal.

Summary:
The calculation puts the formation energy at 1.41 eV/atom. For the energy above the most stable polymorph in this dataset, the calculation gives 0.000 eV/atom.

Cell: 4.9039 4.9039 5.1228 Å, 90.00 90.00 90.00°
Last column: nearest neighbours and their distance in Å.
Space group P4/mmm (No. 123)
Inequivalent atoms, fractional coordinates:
Sc 0.0000 0.0000 0.0000 x1  4 Tc 3.47, 8 Mn 3.55
Mn 0.0000 0.5000 0.5000 x2  2 Pb 2.45
Tc 0.5000 0.5000 0.0000 x1  2 Pb 2.56
Pb 0.5000 0.5000 0.5000 x1  4 Mn 2.45, 2 Tc 2.56